CsTl2SnPb4 PBE optimized geometry; ΔE_f = 8.1 meV/atom; magnetic moment = 0.0000 μB/atom
1.0
5.7018 0.0000 0.0000
2.8509 4.9379 0.0000
2.8509 1.6460 10.3653
Tl Pb Sn Cs
2 4 1 1
Direct
0.7609 0.7609 0.7173 Tl
0.2391 0.2391 0.2827 Tl
0.8697 0.8697 0.3908 Pb
0.4066 0.4066 0.7801 Pb
0.1303 0.1303 0.6092 Pb
0.5934 0.5934 0.2199 Pb
0.5000 0.5000 0.5000 Sn
0.0000 0.0000 0.0000 Cs

***

CsTl5Sn2Pb PBE optimized geometry; ΔE_f = 153.4 meV/atom; magnetic moment = 0.0000 μB/atom
1.0
5.5420 0.0000 0.0000
0.0000 5.5420 0.0000
0.0000 0.0000 12.6296
Tl Sn Pb Cs
5 2 1 1
Direct
0.5000 0.0000 0.8522 Tl
0.0000 0.0000 0.5000 Tl
0.5000 0.0000 0.1478 Tl
0.0000 0.5000 0.1478 Tl
0.0000 0.5000 0.8522 Tl
0.0000 0.0000 0.2710 Sn
0.0000 0.0000 0.7290 Sn
0.0000 0.0000 0.0000 Pb
0.5000 0.5000 0.5000 Cs

***

CsZr2SnPb PBE optimized geometry; ΔE_f = 1095.6 meV/atom; magnetic moment = 0.0255 μB/atom
1.0
5.5775 0.0000 0.0000
0.0000 6.4207 0.0000
0.0000 0.0000 5.5775
Zr Pb Cs Sn
2 1 1 1
Direct
0.5000 0.0000 0.0000 Zr
0.0000 0.0000 0.5000 Zr
0.0000 0.0000 0.0000 Pb
0.0000 0.5000 0.0000 Cs
0.5000 0.5000 0.5000 Sn

***

Cs2Sr2Pb15 PBE optimized geometry; ΔE_f = -177.1 meV/atom; magnetic moment = 0.0000 μB/atom
1.0
6.8215 -5.7717 0.1443
6.8215 5.7717 0.1443
1.7558 0.0000 8.7626
Pb Cs Sr
15 2 2
Direct
0.3515 0.3515 0.8459 Pb
0.8459 0.3515 0.3515 Pb
0.0000 0.2890 0.7110 Pb
0.1541 0.6485 0.6485 Pb
0.2890 0.0000 0.7110 Pb
0.0000 0.7110 0.2890 Pb
0.0000 0.5000 0.0000 Pb
0.5000 0.0000 0.0000 Pb
0.6485 0.1541 0.6485 Pb
0.3515 0.8459 0.3515 Pb
0.0000 0.0000 0.5000 Pb
0.7110 0.0000 0.2890 Pb
0.2890 0.7110 0.0000 Pb
0.6485 0.6485 0.1541 Pb
0.7110 0.2890 0.0000 Pb
0.3489 0.3489 0.3489 Cs
0.6511 0.6511 0.6511 Cs
0.1059 0.1058 0.1058 Sr
0.8942 0.8941 0.8942 Sr

***

CsSrPb3 PBE optimized geometry; ΔE_f = 294.1 meV/atom; magnetic moment = 0.1243 μB/atom
1.0
6.3176 0.0000 0.0000
0.0000 6.3176 0.0000
0.0000 0.0000 6.3176
Cs Pb Sr
1 3 1
Direct
0.5000 0.5000 0.5000 Cs
0.0000 0.5000 0.0000 Pb
0.0000 0.0000 0.5000 Pb
0.5000 0.0000 0.0000 Pb
0.0000 0.0000 0.0000 Sr

***

Cs2SrPb PBE optimized geometry; ΔE_f = 162.0 meV/atom; magnetic moment = 0.0000 μB/atom
1.0
4.3838 -4.5687 2.2872
-2.0091 -4.6880 4.3941
-0.5183 -6.4268 -1.9365
Sr Cs Pb
1 2 1
Direct
0.0000 0.0000 0.0000 Sr
0.7500 0.7500 0.7500 Cs
0.2500 0.2500 0.2500 Cs
0.5000 0.5000 0.5000 Pb

***

Cs2SrPb PBE optimized geometry; ΔE_f = 98.3 meV/atom; magnetic moment = 0.0000 μB/atom
1.0
-3.9156 -2.8862 1.9907
2.1741 -4.3400 -2.0158
6.7382 -5.4894 12.2334
Cs Pb Sr
4 2 2
Direct
0.6297 0.1250 0.2500 Cs
0.1203 0.6250 0.2500 Cs
0.3750 0.3703 0.7500 Cs
0.8750 0.8797 0.7500 Cs
0.7500 0.2500 0.5000 Pb
0.0000 0.0000 0.0000 Pb
0.2500 0.7500 0.5000 Sr
0.5000 0.5000 0.0000 Sr

***

CsSrPb3 PBE optimized geometry; ΔE_f = 784.9 meV/atom; magnetic moment = 0.0000 μB/atom
1.0
-1.8188 -5.8467 1.4644
5.1005 -2.3080 -2.8799
3.2114 0.3544 5.4035
Pb Cs Sr
3 1 1
Direct
0.0000 0.0000 0.5000 Pb
0.0000 0.5000 0.0000 Pb
0.5000 0.0000 0.0000 Pb
0.0000 0.0000 0.0000 Cs
0.5000 0.5000 0.5000 Sr

***

Number 1: uncorrected energy -0.22378 Ry per atom. Number 2: uncorrected energy -0.18798 Ry per atom. Number 3: uncorrected energy -0.29669 Ry per atom. Number 4: uncorrected energy -0.24781 Ry per atom. Number 5: uncorrected energy -0.17919 Ry per atom. Number 6: uncorrected energy -0.11850 Ry per atom. Number 7: uncorrected energy -0.12319 Ry per atom. Number 8: uncorrected energy -0.14312 Ry per atom.